NbVGe | Alexandria via LeMat-Bulk | PBE-GGA | optimized geometry; density of states at the Fermi level = 3.3 states/eV per cell; size of the total moment = 0.0 μB per formula unit; space group = Cmcm; calculated density = 7.62 g/cm3; E_tot = -0.306 hartree per atom
1.0
1.930 -4.649 0.000
1.930 4.649 0.000
0.000 0.000 5.259
Nb V Ge
2 2 2
Cartesian
1.930 2.834 3.944
1.930 -2.834 1.315
1.930 0.000 0.000
1.930 0.000 2.630
1.930 3.656 1.315
1.930 -3.656 3.944


Nb5VGe4 | Alexandria via LeMat-Bulk | PBE-GGA | optimized geometry; density of states at the Fermi level = 12.9 states/eV per cell; size of the total moment = 0.0 μB per formula unit; space group = Pmmn; calculated density = 7.68 g/cm3; E_tot = -0.289 hartree per atom
1.0
8.142 0.000 0.000
0.000 8.989 0.000
0.000 0.000 4.765
Nb V Ge
10 2 8
Cartesian
0.640 0.553 1.112
0.640 3.941 1.112
2.035 2.247 3.591
3.431 0.553 1.112
3.431 3.941 1.112
4.711 5.048 3.653
4.711 8.436 3.653
6.106 6.742 1.173
7.502 5.048 3.653
7.502 8.436 3.653
2.035 6.742 0.039
6.106 2.247 4.726
0.587 6.742 1.937
2.035 4.762 3.461
2.035 8.721 3.461
3.484 6.742 1.937
4.658 2.247 2.828
6.106 0.268 1.304
6.106 4.227 1.304
7.554 2.247 2.828


Nb2V3Ge | Alexandria via LeMat-Bulk | PBE-GGA | optimized geometry; density of states at the Fermi level = 6.2 states/eV per cell; size of the total moment = 0.0 μB per formula unit; space group = C2/m; calculated density = 7.49 g/cm3; E_tot = -0.328 hartree per atom
1.0
4.283 -2.480 0.000
4.283 2.480 0.000
-2.859 0.000 4.294
Nb V Ge
2 3 1
Cartesian
-0.004 0.000 1.614
5.712 0.000 2.680
2.142 1.240 0.000
2.142 -1.240 0.000
4.283 0.000 0.000
2.854 0.000 2.147


NbV4Ge | Alexandria via LeMat-Bulk | PBE-GGA | optimized geometry; density of states at the Fermi level = 10.6 states/eV per cell; size of the total moment = 0.0 μB per formula unit; space group = F-43m; calculated density = 7.01 g/cm3; E_tot = -0.312 hartree per atom
1.0
0.000 3.523 3.523
3.523 0.000 3.523
3.523 3.523 0.000
Nb V Ge
1 4 1
Cartesian
0.000 0.000 0.000
4.413 2.633 2.633
2.633 4.413 2.633
2.633 2.633 4.413
4.413 4.413 4.413
1.761 1.761 1.761


NbVGe | Alexandria via LeMat-Bulk | PBE-GGA | optimized geometry; density of states at the Fermi level = 4.2 states/eV per cell; size of the total moment = 0.0 μB per formula unit; space group = Fdd2; calculated density = 7.63 g/cm3; E_tot = -0.301 hartree per atom
1.0
0.000 4.700 4.107
2.441 0.000 4.107
2.441 4.700 0.000
Nb V Ge
2 2 2
Cartesian
0.000 0.000 0.000
1.221 2.350 2.053
2.441 4.700 5.542
3.662 7.050 7.596
2.441 4.700 2.805
3.662 7.050 4.858


NbVGe | Alexandria via LeMat-Bulk | PBE-GGA | optimized geometry; density of states at the Fermi level = 6.2 states/eV per cell; size of the total moment = 0.8 μB per formula unit; space group = P-3m1; calculated density = 7.74 g/cm3; E_tot = -0.301 hartree per atom
1.0
4.442 0.000 0.000
-2.221 3.846 0.000
0.000 0.000 5.439
Nb V Ge
2 2 2
Cartesian
0.000 0.000 0.000
0.000 0.000 2.720
0.000 2.564 1.545
2.221 1.282 3.895
0.000 2.564 4.200
2.221 1.282 1.240